No. 1
DFT (PBE) results for a geometry-optimized RuPt4W5 structure.

Its total energy is -9.981 eV per atom. The space group is P4/mmm (123).

The structure in CIF format:
```
data_RuPt4W5
_chemical_formula_sum 'Ru1 Pt4 W5'
_cell_length_a 2.754
_cell_length_b 2.754
_cell_length_c 20.416
_cell_angle_alpha 90.00
_cell_angle_beta 90.00
_cell_angle_gamma 90.00
_symmetry_space_group_name_H-M 'P 1'
_symmetry_Int_Tables_number 1
_symmetry_space_group_name_Hall 'P 1'
loop_
_atom_site_label
_atom_site_type_symbol
_atom_site_fract_x
_atom_site_fract_y
_atom_site_fract_z
W1 W 0.500 0.500 0.703
W2 W 0.500 0.500 0.906
W3 W 0.500 0.500 0.297
Pt1 Pt 0.000 0.000 0.601
Pt2 Pt 0.000 0.000 0.399
Pt3 Pt 0.000 0.000 0.197
Pt4 Pt 0.000 0.000 0.803
W4 W 0.500 0.500 0.094
W5 W 0.500 0.500 0.500
Ru1 Ru 0.000 0.000 0.000
```

***

No. 2
DFT (PBE) results for a geometry-optimized NaB3H8 structure.

Its total energy is -4.217 eV per atom. The space group is Pmn2_1 (31).

The structure in CIF format:
```
data_NaB3H8
_chemical_formula_sum 'Na2 B6 H16'
_cell_length_a 4.512
_cell_length_b 5.728
_cell_length_c 7.834
_cell_angle_alpha 90.00
_cell_angle_beta 90.00
_cell_angle_gamma 90.00
_symmetry_space_group_name_H-M 'P 1'
_symmetry_Int_Tables_number 1
_symmetry_space_group_name_Hall 'P 1'
loop_
_atom_site_label
_atom_site_type_symbol
_atom_site_fract_x
_atom_site_fract_y
_atom_site_fract_z
B1 B 0.091 0.248 0.613
H1 H 0.843 0.272 0.671
H2 H 0.776 0.629 0.179
H3 H 0.465 0.956 0.500
B2 B 0.701 0.007 0.000
H4 H 0.546 0.181 0.000
Na1 Na 0.595 0.561 0.500
B3 B 0.591 0.752 0.113
H5 H 0.658 0.950 0.824
B4 B 0.201 0.993 0.500
H6 H 0.776 0.629 0.821
B5 B 0.591 0.752 0.887
H7 H 0.158 0.050 0.324
H8 H 0.843 0.272 0.329
B6 B 0.091 0.248 0.387
H9 H 0.276 0.371 0.321
H10 H 0.046 0.819 0.500
H11 H 0.276 0.371 0.679
H12 H 0.158 0.050 0.676
H13 H 0.965 0.044 0.000
H14 H 0.343 0.728 0.829
H15 H 0.658 0.950 0.176
Na2 Na 0.095 0.439 0.000
H16 H 0.343 0.728 0.171
```

***

No. 3
DFT (PBE) results for a geometry-optimized LiNdZr structure.

Its total energy is -4.887 eV per atom. The polymorph energy (0 for the lowest one) is 98.0 meV per atom. The space group is I4mm (107).

The structure in CIF format:
```
data_LiNdZr
_chemical_formula_sum 'Li1 Nd1 Zr1'
_cell_length_a 3.381
_cell_length_b 3.381
_cell_length_c 7.167
_cell_angle_alpha 103.65
_cell_angle_beta 103.65
_cell_angle_gamma 90.00
_symmetry_space_group_name_H-M 'P 1'
_symmetry_Int_Tables_number 1
_symmetry_space_group_name_Hall 'P 1'
loop_
_atom_site_label
_atom_site_type_symbol
_atom_site_fract_x
_atom_site_fract_y
_atom_site_fract_z
Nd1 Nd 0.004 0.004 0.008
Li1 Li 0.323 0.323 0.646
Zr1 Zr 0.673 0.673 0.346
```

***

No. 4
DFT (PBE) results for a geometry-optimized Ba6P2S3Cl structure.

Its total energy is -4.725 eV per atom. The calculation puts the raw formation energy at -1676.0 meV per atom. The space group is C2/m (12).

The structure in CIF format:
```
data_Ba6P2S3Cl
_chemical_formula_sum 'Ba6 P2 S3 Cl1'
_cell_length_a 4.527
_cell_length_b 9.397
_cell_length_c 10.365
_cell_angle_alpha 103.39
_cell_angle_beta 102.61
_cell_angle_gamma 90.00
_symmetry_space_group_name_H-M 'P 1'
_symmetry_Int_Tables_number 1
_symmetry_space_group_name_Hall 'P 1'
loop_
_atom_site_label
_atom_site_type_symbol
_atom_site_fract_x
_atom_site_fract_y
_atom_site_fract_z
S1 S 0.163 0.836 0.325
Ba1 Ba 0.673 0.085 0.346
P1 P 0.837 0.672 0.675
Ba2 Ba 0.327 0.915 0.654
Ba3 Ba 0.999 0.733 0.999
Ba4 Ba 0.669 0.586 0.338
S2 S 0.500 0.500 0.000
Cl1 Cl 0.500 0.000 0.000
P2 P 0.163 0.328 0.325
S3 S 0.837 0.164 0.675
Ba5 Ba 0.001 0.267 0.001
Ba6 Ba 0.331 0.414 0.662
```